Record 1
Compound: GeTeS4
Source: the Alexandria database
Functional: GGA-PBE
Structure: relaxed

Results
DOS at the Fermi energy = 0.10 states/eV/atom
ΔE_f (raw) = -0.01 eV/atom
volume = 25.798 Å³ per atom

```
data_GeTeS4
_cell_length_a 3.620
_cell_length_b 6.724
_cell_length_c 6.361
_cell_angle_alpha 88.52
_cell_angle_beta 90.00
_cell_angle_gamma 90.00
_space_group_name_H-M_alt 'P 1'
_space_group_IT_number 1
loop_
_space_group_symop_operation_xyz
'x,y,z'
loop_
_atom_site_label
_atom_site_type_symbol
_atom_site_fract_x
_atom_site_fract_y
_atom_site_fract_z
Te1 Te 0.000 0.000 0.000
S1 S 0.500 0.223 0.797
S2 S 0.500 0.777 0.203
Ge1 Ge 0.500 0.000 0.500
S3 S 0.000 0.212 0.351
S4 S 0.000 0.788 0.649
```

=====

Record 2
Compound: Pm4ScGa5
Source: the Alexandria database
Functional: GGA-PBE
Structure: relaxed

Results
DOS at the Fermi energy = 0.37 states/eV/atom
formation energy = -0.57 eV/atom
volume = 23.478 Å³ per atom

```
data_Pm4ScGa5
_cell_length_a 3.579
_cell_length_b 3.579
_cell_length_c 18.325
_cell_angle_alpha 90.00
_cell_angle_beta 90.00
_cell_angle_gamma 90.00
_space_group_name_H-M_alt 'P 1'
_space_group_IT_number 1
loop_
_space_group_symop_operation_xyz
'x,y,z'
loop_
_atom_site_label
_atom_site_type_symbol
_atom_site_fract_x
_atom_site_fract_y
_atom_site_fract_z
Pm1 Pm 0.000 0.000 0.188
Ga1 Ga 0.500 0.500 0.081
Ga2 Ga 0.500 0.500 0.708
Ga3 Ga 0.500 0.500 0.292
Ga4 Ga 0.500 0.500 0.500
Ga5 Ga 0.500 0.500 0.919
Pm2 Pm 0.000 0.000 0.396
Pm3 Pm 0.000 0.000 0.812
Pm4 Pm 0.000 0.000 0.604
Sc1 Sc 0.000 0.000 0.000
```

=====

Record 3
Compound: NaGeIr3
Source: the Alexandria database
Functional: GGA-PBE
Structure: relaxed

Results
DOS at the Fermi energy = 1.03 states/eV/atom
ΔE to the lowest computed polymorph = 0.000 eV per atom
formation energy = 0.92 eV/atom
volume = 19.709 Å³ per atom

```
data_NaGeIr3
_cell_length_a 4.619
_cell_length_b 4.619
_cell_length_c 4.619
_cell_angle_alpha 90.00
_cell_angle_beta 90.00
_cell_angle_gamma 90.00
_space_group_name_H-M_alt 'P 1'
_space_group_IT_number 1
loop_
_space_group_symop_operation_xyz
'x,y,z'
loop_
_atom_site_label
_atom_site_type_symbol
_atom_site_fract_x
_atom_site_fract_y
_atom_site_fract_z
Ge1 Ge 0.000 0.000 0.000
Ir1 Ir 0.000 0.500 0.000
Na1 Na 0.500 0.500 0.500
Ir2 Ir 0.000 0.000 0.500
Ir3 Ir 0.500 0.000 0.000
```

=====

Record 4
Compound: Ba6GePd3
Source: the Alexandria database
Functional: GGA-PBE
Structure: relaxed

Results
DOS at the Fermi energy = 0.61 states/eV/atom
formation energy = -0.42 eV/atom
volume = 38.735 Å³ per atom

```
data_Ba6GePd3
_cell_length_a 4.826
_cell_length_b 11.897
_cell_length_c 14.505
_cell_angle_alpha 111.54
_cell_angle_beta 90.00
_cell_angle_gamma 90.00
_space_group_name_H-M_alt 'P 1'
_space_group_IT_number 1
loop_
_space_group_symop_operation_xyz
'x,y,z'
loop_
_atom_site_label
_atom_site_type_symbol
_atom_site_fract_x
_atom_site_fract_y
_atom_site_fract_z
Pd1 Pd 0.250 0.663 0.161
Ba1 Ba 0.750 0.486 0.611
Pd2 Pd 0.750 0.081 0.031
Ge1 Ge 0.250 0.914 0.280
Pd3 Pd 0.250 0.919 0.969
Pd4 Pd 0.750 0.686 0.518
Ba2 Ba 0.750 0.112 0.420
Ba3 Ba 0.250 0.888 0.580
Ba4 Ba 0.750 0.845 0.100
Ba5 Ba 0.250 0.248 0.679
Ba6 Ba 0.750 0.428 0.085
Ba7 Ba 0.750 0.752 0.321
Ba8 Ba 0.250 0.150 0.189
Ba9 Ba 0.750 0.850 0.811
Ba10 Ba 0.250 0.572 0.915
Pd5 Pd 0.750 0.337 0.839
Ba11 Ba 0.250 0.514 0.389
Ge2 Ge 0.750 0.086 0.720
Ba12 Ba 0.250 0.155 0.900
Pd6 Pd 0.250 0.314 0.482
```

=====

Record 5
Compound: KCa2BiO
Source: the Alexandria database
Functional: GGA-PBE
Structure: relaxed

Results
DOS at the Fermi energy = 0.45 states/eV/atom
ΔE to the lowest computed polymorph = 1.389 eV per atom
ΔE_f (raw) = -0.03 eV/atom
volume = 30.907 Å³ per atom

```
data_KCa2BiO
_cell_length_a 5.947
_cell_length_b 4.369
_cell_length_c 5.947
_cell_angle_alpha 90.00
_cell_angle_beta 90.00
_cell_angle_gamma 90.00
_space_group_name_H-M_alt 'P 1'
_space_group_IT_number 1
loop_
_space_group_symop_operation_xyz
'x,y,z'
loop_
_atom_site_label
_atom_site_type_symbol
_atom_site_fract_x
_atom_site_fract_y
_atom_site_fract_z
Ca1 Ca 0.000 0.000 0.500
K1 K 0.000 0.000 0.000
Bi1 Bi 0.500 0.500 0.500
O1 O 0.000 0.500 0.000
Ca2 Ca 0.500 0.000 0.000
```

=====

Please write out number 5 again, unchanged.
Compound: KCa2BiO
Source: the Alexandria database
Functional: GGA-PBE
Structure: relaxed

Results
DOS at the Fermi energy = 0.45 states/eV/atom
ΔE to the lowest computed polymorph = 1.389 eV per atom
ΔE_f (raw) = -0.03 eV/atom
volume = 30.907 Å³ per atom

```
data_KCa2BiO
_cell_length_a 5.947
_cell_length_b 4.369
_cell_length_c 5.947
_cell_angle_alpha 90.00
_cell_angle_beta 90.00
_cell_angle_gamma 90.00
_space_group_name_H-M_alt 'P 1'
_space_group_IT_number 1
loop_
_space_group_symop_operation_xyz
'x,y,z'
loop_
_atom_site_label
_atom_site_type_symbol
_atom_site_fract_x
_atom_site_fract_y
_atom_site_fract_z
Ca1 Ca 0.000 0.000 0.500
K1 K 0.000 0.000 0.000
Bi1 Bi 0.500 0.500 0.500
O1 O 0.000 0.500 0.000
Ca2 Ca 0.500 0.000 0.000
```